4
Lattice="3.5385 0.0000 0.0000 0.0000 3.5385 0.0000 0.0000 0.0000 9.2947" Properties=species:S:1:pos:R:3 comment="GGA-PBEsol La2YSi, optimized geometry" formation_energy_uncorrected_kj_per_mol_atoms=-19.4 energy_ev_per_atom=-6.02 spacegroup="P4/mmm (123)" pbc="T T T"
La 0.0000 0.0000 1.8480
La 0.0000 0.0000 7.4468
Y 1.7692 1.7692 4.6474
Si 1.7692 1.7692 0.0000